# 1
DFT (GGA-PBE) results for an optimized crystal structure of LiScPb2.

Calculated values
* crystal system: tetragonal
* ΔE to the lowest computed polymorph: 0.0 kJ per mole of atoms
* formation energy from the elements: -320 meV/atom

a = 4.718 Å, b = 4.718 Å, c = 4.240 Å
α = 90.00°, β = 90.00°, γ = 90.00°
Space group P4/mmm (No. 123)
Unique sites:
Li  0.000  0.000  0.000
Sc  0.500  0.500  0.000
Pb  0.000  0.500  0.500

# 2
DFT (GGA-PBE) results for an optimized crystal structure of LiSc2Pb2.

Calculated values
* crystal system: tetragonal
* ΔE to the lowest computed polymorph: 0.0 kJ per mole of atoms
* formation energy from the elements: -305 meV/atom

a = 7.397 Å, b = 7.397 Å, c = 4.387 Å
α = 90.00°, β = 90.00°, γ = 90.00°
Space group P4/mbm (No. 127)
Unique sites:
Li  0.000  0.000  0.000
Sc  0.165  0.335  0.500
Pb  0.145  0.645  0.000

# 3
DFT (GGA-PBE) results for an optimized crystal structure of LiScPb2.

Calculated values
* crystal system: tetragonal
* ΔE to the lowest computed polymorph: 6.2 kJ per mole of atoms
* formation energy from the elements: -255 meV/atom

a = 4.273 Å, b = 4.273 Å, c = 10.519 Å
α = 90.00°, β = 90.00°, γ = 90.00°
Space group I-4m2 (No. 119)
Unique sites:
Li  0.000  0.000  0.000
Sc  0.000  0.500  0.250
Pb  0.000  0.000  0.500
Pb  0.000  0.500  0.750

# 4
DFT (GGA-PBE) results for an optimized crystal structure of LiScPb2.

Calculated values
* crystal system: tetragonal
* ΔE to the lowest computed polymorph: 22.3 kJ per mole of atoms
* formation energy from the elements: -89 meV/atom

a = 7.782 Å, b = 7.782 Å, c = 6.464 Å
α = 90.00°, β = 90.00°, γ = 90.00°
Space group I-42d (No. 122)
Unique sites:
Li  0.000  0.000  0.000
Sc  0.000  0.000  0.500
Pb  0.218  0.750  0.125

# 5
DFT (GGA-PBE) results for an optimized crystal structure of LiSc2Pb2.

Calculated values
* crystal system: tetragonal
* ΔE to the lowest computed polymorph: 7.4 kJ per mole of atoms
* formation energy from the elements: -229 meV/atom

a = 8.678 Å, b = 8.678 Å, c = 3.396 Å
α = 90.00°, β = 90.00°, γ = 90.00°
Space group P4/mbm (No. 127)
Unique sites:
Li  0.000  0.000  0.000
Sc  0.126  0.374  0.000
Pb  0.175  0.675  0.500

# 6
DFT (GGA-PBE) results for an optimized crystal structure of LiSc4Pb.

Calculated values
* crystal system: cubic
* formation energy from the elements: 206 meV/atom

a = 8.439 Å, b = 8.439 Å, c = 8.439 Å
α = 90.00°, β = 90.00°, γ = 90.00°
Space group F-43m (No. 216)
Unique sites:
Li  0.000  0.000  0.000
Sc  0.124  0.124  0.376
Pb  0.250  0.250  0.750

# 7
DFT (GGA-PBE) results for an optimized crystal structure of LiScPb6.

Calculated values
* crystal system: tetragonal
* formation energy from the elements: -126 meV/atom

a = 4.764 Å, b = 4.764 Å, c = 9.876 Å
α = 90.00°, β = 90.00°, γ = 90.00°
Space group P4/mmm (No. 123)
Unique sites:
Li  0.000  0.000  0.000
Sc  0.000  0.000  0.500
Pb  0.000  0.500  0.250
Pb  0.500  0.500  0.000
Pb  0.500  0.500  0.500

# 8
DFT (GGA-PBE) results for an optimized crystal structure of Li2ScPb.

Calculated values
* crystal system: orthorhombic
* formation energy from the elements: -115 meV/atom

a = 3.196 Å, b = 4.442 Å, c = 6.345 Å
α = 90.00°, β = 90.00°, γ = 90.00°
Space group Pmm2 (No. 25)
Unique sites:
Li  0.000  0.000  0.000
Li  0.500  0.500  0.230
Sc  0.500  0.500  0.719
Pb  0.000  0.000  0.483

# 9
DFT (GGA-PBE) results for an optimized crystal structure of LiScPb3.

Calculated values
* crystal system: cubic
* ΔE to the lowest computed polymorph: 4.0 kJ per mole of atoms
* formation energy from the elements: 195 meV/atom

a = 5.638 Å, b = 5.638 Å, c = 5.638 Å
α = 90.00°, β = 90.00°, γ = 90.00°
Space group Pm-3m (No. 221)
Unique sites:
Li  0.000  0.000  0.000
Sc  0.500  0.500  0.500
Pb  0.000  0.500  0.500

# 10
DFT (GGA-PBE) results for an optimized crystal structure of Li3ScPb4.

Calculated values
* crystal system: orthorhombic
* formation energy from the elements: -282 meV/atom

a = 10.318 Å, b = 7.000 Å, c = 5.158 Å
α = 90.00°, β = 90.00°, γ = 90.00°
Space group Pmma (No. 51)
Unique sites:
Li  0.000  0.000  0.000
Li  0.250  0.000  0.494
Li  0.250  0.500  0.495
Sc  0.000  0.500  0.000
Pb  0.000  0.241  0.500
Pb  0.250  0.241  0.995

# 11
DFT (GGA-PBE) results for an optimized crystal structure of LiScPb2.

Calculated values
* crystal system: cubic
* ΔE to the lowest computed polymorph: 29.3 kJ per mole of atoms
* formation energy from the elements: -16 meV/atom

a = 7.452 Å, b = 7.452 Å, c = 7.452 Å
α = 90.00°, β = 90.00°, γ = 90.00°
Space group F-43m (No. 216)
Unique sites:
Li  0.000  0.000  0.000
Sc  0.250  0.250  0.250
Pb  0.000  0.000  0.500
Pb  0.250  0.250  0.750

# 12
DFT (GGA-PBE) results for an optimized crystal structure of LiSc5Pb3.

Calculated values
* crystal system: hexagonal
* formation energy from the elements: -375 meV/atom

a = 8.8288 Å, b = 8.8288 Å, c = 6.1963 Å
α = 90.00°, β = 90.00°, γ = 120.00°
Space group P6_3/mcm (No. 193)
Unique sites:
Li  0.0000  0.0000  0.0000
Sc  0.0000  0.3153  0.2500
Sc  0.3333  0.6667  0.0000
Pb  0.0000  0.3473  0.7500

Number 1: DOS(E_F) 1.43 states/eV per cell, calculated density 8.20 Mg/m³, E -16.9 eV per formula unit. Number 2: DOS(E_F) 7.75 states/eV per cell, calculated density 7.07 Mg/m³, E -23.5 eV per formula unit. Number 3: DOS(E_F) 6.89 states/eV per cell, calculated density 8.06 Mg/m³, E -16.7 eV per formula unit. Number 4: DOS(E_F) 6.63 states/eV per cell, calculated density 7.91 Mg/m³, E -16.0 eV per formula unit. Number 5: DOS(E_F) 6.51 states/eV per cell, calculated density 6.64 Mg/m³, E -23.1 eV per formula unit. Number 6: DOS(E_F) 29.51 states/eV per cell, calculated density 4.35 Mg/m³, E -29.7 eV per formula unit. Number 7: DOS(E_F) 3.22 states/eV per cell, calculated density 9.60 Mg/m³, E -31.5 eV per formula unit. Number 8: DOS(E_F) 2.82 states/eV per cell, calculated density 4.90 Mg/m³, E -14.3 eV per formula unit. Number 9: DOS(E_F) 4.58 states/eV per cell, calculated density 6.24 Mg/m³, E -18.4 eV per formula unit. Number 10: DOS(E_F) 6.13 states/eV per cell, calculated density 7.97 Mg/m³, E -29.2 eV per formula unit. Number 11: DOS(E_F) 15.32 states/eV per cell, calculated density 7.49 Mg/m³, E -15.7 eV per formula unit. Number 12: DOS(E_F) 16.98 states/eV per cell, calculated density 6.78 Mg/m³, E -48.1 eV per formula unit.